[1]
Compound: BeCoSb2O
Source: Alexandria via LeMat-Bulk
Functional: GGA+U
Structure: optimized geometry

Properties
Energy ... -19.48 eV for the cell shown

Unit cell a=4.6841 b=4.6841 c=3.9123 alpha=90.00 beta=90.00 gamma=90.00
Closest atoms and distances in Å follow each position.
Space group P4/mmm (No. 123)
Asymmetric unit:
Be  0.0000  0.0000  0.0000 (multiplicity 1)  2 Co 1.96
Co  0.0000  0.0000  0.5000 (multiplicity 1)  2 Be 1.96
Sb  0.0000  0.5000  0.5000 (multiplicity 2)  2 Co 2.34
O  0.5000  0.5000  0.0000 (multiplicity 1)  8 Sb 3.05, 4 Be 3.31

---

[2]
Compound: BeCoSnO4
Source: Alexandria via LeMat-Bulk
Functional: GGA+U
Structure: optimized geometry

Properties
Energy ... -176.05 eV for the cell shown

Unit cell a=5.7285 b=6.0711 c=8.2917 alpha=90.00 beta=90.00 gamma=90.00
Closest atoms and distances in Å follow each position.
Space group Imma (No. 74)
Asymmetric unit:
Be  0.0000  0.2500  0.1381 (multiplicity 4)  4 O 1.74-1.77
Co  0.2500  0.2500  0.7500 (multiplicity 4)  6 O 2.12-2.13
Sn  0.0000  0.0000  0.5000 (multiplicity 4)  6 O 2.08-2.11
O  0.0000  0.0075  0.2493 (multiplicity 8)  1 Be 1.74
O  0.2446  0.2500  0.0070 (multiplicity 8)  1 Be 1.77

---

[3]
Compound: Sr2BeCo2O6
Source: Alexandria via LeMat-Bulk
Functional: GGA+U
Structure: optimized geometry

Properties
Energy ... -196.62 eV for the cell shown

Unit cell a=5.6501 b=5.6501 c=15.3858 alpha=90.00 beta=90.00 gamma=120.00
Closest atoms and distances in Å follow each position.
Space group R-3m (No. 166, hexagonal axes)
Asymmetric unit:
Sr  0.0000  0.0000  0.2146 (multiplicity 6)  9 O 2.60-2.90
Be  0.0000  0.0000  0.0000 (multiplicity 3)  6 O 1.90
Co  0.0000  0.0000  0.4140 (multiplicity 6)  3 O 1.76
O  0.0270  0.5135  0.7430 (multiplicity 18)  1 Co 1.76, 1 Be 1.90

---

[4]
Compound: Sr2Be2CoO6
Source: Alexandria via LeMat-Bulk
Functional: GGA+U
Structure: optimized geometry

Properties
Energy ... -206.81 eV for the cell shown

Unit cell a=5.2772 b=5.2772 c=15.2854 alpha=90.00 beta=90.00 gamma=120.00
Closest atoms and distances in Å follow each position.
Space group R-3m (No. 166, hexagonal axes)
Asymmetric unit:
Sr  0.0000  0.0000  0.2204 (multiplicity 6)  9 O 2.67-2.70, 1 Be 2.87
Be  0.0000  0.0000  0.4083 (multiplicity 6)  3 O 1.53
Co  0.0000  0.0000  0.0000 (multiplicity 3)  6 O 1.91
O  0.0025  0.5012  0.7433 (multiplicity 18)  1 Be 1.53

---

[5]
Compound: Sr3BeCo2O6
Source: Alexandria via LeMat-Bulk
Functional: GGA+U
Structure: optimized geometry

Properties
Energy ... -69.43 eV for the cell shown

Unit cell a=5.6529 b=5.6529 c=6.2883 alpha=90.00 beta=90.00 gamma=120.00
Closest atoms and distances in Å follow each position.
Space group P-3m1 (No. 164)
Asymmetric unit:
Sr  0.0000  0.0000  0.0000 (multiplicity 1)  6 O 2.50
Sr  0.3333  0.6667  0.6556 (multiplicity 2)  9 O 2.76-2.83, 1 Co 2.76
Be  0.0000  0.0000  0.5000 (multiplicity 1)  6 O 1.94
Co  0.3333  0.6667  0.2168 (multiplicity 2)  3 O 1.83
O  0.1575  0.3149  0.3135 (multiplicity 6)  1 Co 1.83, 1 Be 1.94

---

[6]
Compound: BeCoTeO2
Source: Alexandria via LeMat-Bulk
Functional: GGA+U
Structure: optimized geometry

Properties
Energy ... -20.01 eV for the cell shown

Unit cell a=4.0672 b=4.0672 c=4.7150 alpha=90.00 beta=90.00 gamma=90.00
Closest atoms and distances in Å follow each position.
Space group P4/mmm (No. 123)
Asymmetric unit:
Be  0.0000  0.0000  0.0000 (multiplicity 1)  2 Te 2.36
Co  0.5000  0.5000  0.0000 (multiplicity 1)  4 Be 2.88, 8 O 3.11
Te  0.0000  0.0000  0.5000 (multiplicity 1)  4 O 2.03
O  0.0000  0.5000  0.5000 (multiplicity 2)  2 Te 2.03

---

[7]
Compound: Be2CoTeO6
Source: Alexandria via LeMat-Bulk
Functional: GGA+U
Structure: optimized geometry

Properties
Energy ... -244.67 eV for the cell shown

Unit cell a=9.1715 b=8.3936 c=4.9683 alpha=90.00 beta=101.19 gamma=90.00
Closest atoms and distances in Å follow each position.
Space group C2/c (No. 15)
Asymmetric unit:
Be  0.1981  0.0894  0.3086 (multiplicity 8)  4 O 1.63-1.70
Co  0.0000  0.4119  0.2500 (multiplicity 4)  6 O 1.91-1.98
Te  0.0000  0.2057  0.7500 (multiplicity 4)  6 O 2.06-2.18
O  0.1125  0.4121  0.6208 (multiplicity 8)  1 Be 1.70
O  0.1205  0.2480  0.1381 (multiplicity 8)  1 Be 1.66
O  0.1478  0.0606  0.6030 (multiplicity 8)  2 Be 1.63

---

[8]
Compound: BeCoTe2O
Source: Alexandria via LeMat-Bulk
Functional: GGA+U
Structure: optimized geometry

Properties
Energy ... -17.65 eV for the cell shown

Unit cell a=5.0656 b=5.0656 c=3.7448 alpha=90.00 beta=90.00 gamma=90.00
Closest atoms and distances in Å follow each position.
Space group P4/mmm (No. 123)
Asymmetric unit:
Be  0.0000  0.0000  0.0000 (multiplicity 1)  8 Te 3.15
Co  0.5000  0.5000  0.0000 (multiplicity 1)  2 O 1.87
Te  0.0000  0.5000  0.5000 (multiplicity 2)  2 O 2.53
O  0.5000  0.5000  0.5000 (multiplicity 1)  2 Co 1.87